The following is a GGA-PBE calculation of a relaxed DyGa3Rh4 crystal, from Alexandria.

Cell and atoms, written as extended XYZ:
```
8
Lattice="2.205 1.273 7.326 -2.205 1.273 7.326 0.000 -2.546 7.326" Properties=species:S:1:pos:R:3 pbc="T T T"
Dy 0.000 0.000 0.000
Ga 0.000 0.000 5.478
Ga 0.000 0.000 10.990
Ga 0.000 0.000 16.501
Rh 0.000 0.000 2.862
Rh 0.000 0.000 8.493
Rh 0.000 0.000 13.486
Rh 0.000 0.000 19.118
```

Calculated values
The energy of formation comes out at -768.8 meV/atom. The total energy is -6.155 eV per atom. The value obtained for the spin magnetization is 0.0 μB/f.u.